## TbHf2WC4 (PBE)

Data for a relaxed structure of TbHf2WC4.

## Properties
calculated formation energy: -0.3713 eV/atom
D(E_F): 0.350 states/eV/atom
size of the total moment: 0.0 μB per formula unit

abc: 3.3253 11.6458 11.6792
angles: 90.00 90.00 90.00
Last column: nearest neighbours and their distance in Å.
Space group Cmcm (No. 63)
Symmetry-distinct sites (fractional):
Tb 0.0000 0.1116 0.2500 x4  6 C 2.54-2.73
Hf 0.0000 0.3699 0.0352 x8  5 C 2.20-2.43
W 0.0000 0.1546 0.7500 x4  4 C 1.97-2.04
C 0.0000 0.0000 0.0000 x4  4 Hf 2.29
C 0.0000 0.2582 0.6171 x8  1 W 1.97
C 0.0000 0.4464 0.2500 x4  2 W 2.04